A relaxed Li6Mn5O12 crystal, computed with PBE+U.

## Properties
Uncorrected energy, Ry/atom: -0.473
SG: C2 (5)

Lattice parameters (Å, degrees): 5.049 5.049 9.579 94.13 94.13 118.11
Fractional coordinates of all 23 atoms:
Li1 0.000 0.000 0.000
Li2 0.060 0.400 0.237
Li3 0.386 0.077 0.234
Li4 0.600 0.940 0.763
Li5 0.665 0.335 0.000
Li6 0.923 0.614 0.766
Mn1 0.159 0.841 0.500
Mn2 0.262 0.272 0.754
Mn3 0.324 0.676 0.000
Mn4 0.728 0.738 0.246
Mn5 0.813 0.187 0.500
O1 0.003 0.325 0.879
O2 0.044 0.705 0.119
O3 0.054 0.090 0.375
O4 0.142 0.534 0.611
O5 0.295 0.956 0.881
O6 0.392 0.414 0.133
O7 0.466 0.858 0.389
O8 0.507 0.172 0.618
O9 0.586 0.608 0.867
O10 0.675 0.997 0.121
O11 0.828 0.493 0.382
O12 0.910 0.946 0.625